DFT (PBE) results for a relaxed Ce2Ni3Ge crystal.

Geometry as CIF:
```
data_Ce2Ni3Ge
_cell_length_a 8.363
_cell_length_b 8.099
_cell_length_c 5.558
_cell_angle_alpha 72.84
_cell_angle_beta 67.73
_cell_angle_gamma 39.43
_symmetry_space_group_name_H-M 'P 1'
_symmetry_Int_Tables_number 1
loop_
_symmetry_equiv_pos_as_xyz
'x,y,z'
loop_
_atom_site_label
_atom_site_type_symbol
_atom_site_fract_x
_atom_site_fract_y
_atom_site_fract_z
Ce1 Ce 0.241 0.759 0.759
Ce2 Ce 0.250 0.250 0.250
Ce3 Ce 0.750 0.750 0.750
Ce4 Ce 0.759 0.241 0.241
Ni1 Ni 0.168 0.168 0.832
Ni2 Ni 0.169 0.663 0.337
Ni3 Ni 0.337 0.831 0.169
Ni4 Ni 0.663 0.169 0.831
Ni5 Ni 0.831 0.337 0.663
Ni6 Ni 0.832 0.832 0.168
Ge1 Ge 0.334 0.334 0.666
Ge2 Ge 0.666 0.666 0.334
```

- SG = No. 69
- E_form (eV/atom) = -0.481
- final energy (Ry/atom) = -0.44972